*A*
Crystalline VPRhS2 at its relaxed geometry, computed with PBE.

Unit cell a=4.804 b=4.804 c=4.307 alpha=90.00 beta=90.00 gamma=90.00
Space group P4/mmm (No. 123)
Asymmetric unit:
V 0.000 0.000 0.000 x1
P 0.500 0.500 0.000 x1
Rh 0.500 0.500 0.500 x1
S 0.000 0.500 0.500 x2

***

*B*
Crystalline VPRhS2 at its relaxed geometry, computed with PBE.

Unit cell a=4.426 b=4.426 c=4.570 alpha=90.00 beta=90.00 gamma=90.00
Space group P4/mmm (No. 123)
Asymmetric unit:
V 0.000 0.000 0.000 x1
P 0.000 0.000 0.500 x1
Rh 0.500 0.500 0.500 x1
S 0.000 0.500 0.000 x2

***

Bottom line: *B*, by a margin of 131 meV per atom.